Pt2PbWO: optimized geometry, PBE with a Hubbard U.

Properties
Symmetry   P4/mmm, No. 123
Density   14.40 g/cm³
E_tot   -26.7 eV per cell

Cell lengths 4.849, 4.849, 3.909 Å; angles 90.00, 90.00, 90.00 degrees
Atoms (fractional coordinates):
1 Pt 0.000 0.500 0.000
2 Pt 0.500 0.000 0.000
3 Pb 0.000 0.000 0.500
4 W 0.500 0.500 0.500
5 O 0.500 0.500 0.000